Here is a relaxed RbSrHg10 crystal from Alexandria. Energies are from PBE.

Cell lengths 5.518, 6.155, 10.832 Å; angles 90.00, 90.00, 90.00 degrees
Fractional coordinates of all 12 atoms:
Rb (0.000, 0.000, 0.000)
Sr (0.000, 0.500, 0.500)
Hg (0.000, 0.000, 0.342)
Hg (0.000, 0.000, 0.658)
Hg (0.000, 0.500, 0.180)
Hg (0.000, 0.500, 0.820)
Hg (0.500, 0.000, 0.500)
Hg (0.500, 0.253, 0.256)
Hg (0.500, 0.253, 0.744)
Hg (0.500, 0.500, 0.000)
Hg (0.500, 0.747, 0.256)
Hg (0.500, 0.747, 0.744)

Values from the calculation:
calculated density	9.8	g/cm³
formation energy	-0.172	eV/atom
DOS at the Fermi energy	0.4285	states/eV per atom

Here is a relaxed LiTe2Cl crystal from Alexandria. Energies are from PBE.

Cell lengths 16.882, 16.882, 16.882 Å; angles 165.93, 165.93, 19.94 degrees
Fractional coordinates of all 8 atoms:
Li (0.000, 0.000, 0.000)
Li (0.750, 0.250, 0.500)
Te (0.125, 0.625, 0.000)
Te (0.375, 0.375, 0.500)
Te (0.625, 0.125, 0.000)
Te (0.875, 0.875, 0.500)
Cl (0.250, 0.750, 0.500)
Cl (0.500, 0.500, 0.000)

Values from the calculation:
ΔE to the lowest computed polymorph	123	meV per atom
calculated density	3.5	g/cm³
raw formation energy	-0.5953	eV per atom
DOS at the Fermi energy	0.3084	states/eV per atom

Here is a relaxed TbPrNdPb crystal from Alexandria. Energies are from PBE.

Cell lengths 5.618, 5.618, 5.618 Å; angles 60.00, 60.00, 60.00 degrees
Fractional coordinates of all 4 atoms:
Tb (0.000, 0.000, 0.000)
Pr (0.750, 0.750, 0.750)
Nd (0.250, 0.250, 0.250)
Pb (0.500, 0.500, 0.500)

Values from the calculation:
calculated density	8.6	g/cm³
formation energy	-0.150	eV/atom
DOS at the Fermi energy	1.9565	states/eV per atom

Q: The lowest DOS at the Fermi energy belongs to which entry?
A: LiTe2Cl